Record 1
Entry from Alexandria via LeMat-Bulk: crystalline Al2NiRu at its relaxed geometry (PBEsol).

Computed properties:
* VASP energy: -6.806 eV per atom
* energy relative to the lowest polymorph listed for this composition: 0.0435 eV/atom
* space group: Fm-3m, No. 225
* formation enthalpy at 0 K: -0.678 eV per atom
* size of the total moment: 0.00 μB per cell

Unit cell a=4.129 b=4.129 c=4.129 alpha=60.00 beta=60.00 gamma=60.00
Fractional positions:
1 Al 0.250 0.250 0.250
2 Al 0.750 0.750 0.750
3 Ni 0.000 0.000 0.000
4 Ru 0.500 0.500 0.500

Record 2
Entry from Alexandria via LeMat-Bulk: crystalline AlNiRu2 at its relaxed geometry (PBEsol).

Computed properties:
* VASP energy: -7.676 eV per atom
* space group: Immm, No. 71
* formation enthalpy at 0 K: -0.027 eV per atom
* size of the total moment: 0.01 μB per cell

Unit cell a=4.956 b=4.956 c=4.956 alpha=147.16 beta=127.84 gamma=63.02
Fractional positions:
1 Al 0.000 0.000 0.000
2 Ni 0.500 0.500 0.000
3 Ru 0.249 0.749 0.500
4 Ru 0.751 0.251 0.500